# Cr4Ru | Alexandria | meta-GGA SCAN | PBEsol geometry
# Uncorrected energy in eV/atom: -21.63
data_Cr4Ru
_chemical_formula_sum 'Cr8 Ru2'
_space_group_name_H-M_alt 'I 4/m'
_space_group_IT_number 87
_space_group_name_Hall '-I 4'
_cell_length_a 6.406
_cell_length_b 6.406
_cell_length_c 2.829
_cell_angle_alpha 90.00
_cell_angle_beta 90.00
_cell_angle_gamma 90.00
loop_
_atom_site_label
_atom_site_type_symbol
_atom_site_fract_x
_atom_site_fract_y
_atom_site_fract_z
Cr1 Cr 0.110 0.311 0.000
Ru1 Ru 0.000 0.000 0.500